Here is a geometry-optimized CrCuF3 structure from Alexandria. Energies are from GGA+U.

The space group is Pm-3m (No. 221) and the conventional cell measures 4.026, 4.026 and 4.026 Å, with angles of 90.00, 90.00 and 90.00 degrees. The asymmetric unit holds Cr at (0.000, 0.000, 0.000), Cu at (0.500, 0.500, 0.500) and F at (0.000, 0.500, 0.500).

Its total magnetic moment is 4.0 Bohr magnetons per cell. The value obtained for the calculated volume is 65.3 Å³ per cell. Its total energy is -24.2 eV for the cell shown. The calculated density comes out at 4.4 g cm⁻³.